A relaxed structure of Ba3SrAc2Te6, computed with GGA-PBE.

**E_form (uncorrected)**: -1.679 eV/atom
**DFT total energy**: -4.556 eV/atom
**Symmetry**: C2/m
**DOS at the Fermi energy**: 0.253 states/eV per atom

Geometry as CIF:
```
data_Ba3SrAc2Te6
_cell_length_a 8.386
_cell_length_b 8.386
_cell_length_c 8.457
_cell_angle_alpha 99.52
_cell_angle_beta 99.52
_cell_angle_gamma 119.98
_space_group_name_H-M_alt 'P 1'
_space_group_IT_number 1
_space_group_name_Hall 'P 1'
loop_
_atom_site_label
_atom_site_fract_x
_atom_site_fract_y
_atom_site_fract_z
Ba1 0.000 0.000 0.000
Ba2 0.333 0.667 0.000
Ba3 0.667 0.333 0.000
Sr1 0.500 0.500 0.500
Ac1 0.166 0.834 0.500
Ac2 0.834 0.166 0.500
Te1 0.089 0.422 0.265
Te2 0.245 0.245 0.735
Te3 0.422 0.089 0.265
Te4 0.578 0.911 0.735
Te5 0.755 0.755 0.265
Te6 0.911 0.578 0.735
```

A relaxed structure of BaSr3Ac2Te6, computed with GGA-PBE.

**E_form (uncorrected)**: -1.647 eV/atom
**DFT total energy**: -4.483 eV/atom
**Symmetry**: C2/m
**DOS at the Fermi energy**: 0.360 states/eV per atom

Geometry as CIF:
```
data_BaSr3Ac2Te6
_cell_length_a 10.682
_cell_length_b 10.682
_cell_length_c 9.592
_cell_angle_alpha 103.12
_cell_angle_beta 103.12
_cell_angle_gamma 25.71
_space_group_name_H-M_alt 'P 1'
_space_group_IT_number 1
_space_group_name_Hall 'P 1'
loop_
_atom_site_label
_atom_site_fract_x
_atom_site_fract_y
_atom_site_fract_z
Ba1 0.000 0.000 0.000
Sr1 0.000 0.000 0.500
Sr2 0.335 0.335 0.166
Sr3 0.665 0.665 0.834
Ac1 0.332 0.332 0.663
Ac2 0.668 0.668 0.337
Te1 0.166 0.166 0.586
Te2 0.171 0.171 0.087
Te3 0.498 0.498 0.739
Te4 0.502 0.502 0.261
Te5 0.829 0.829 0.913
Te6 0.834 0.834 0.414
```

A relaxed structure of Ba2SrAc3Te6, computed with GGA-PBE.

**E_form (uncorrected)**: -1.619 eV/atom
**DFT total energy**: -4.677 eV/atom
**Symmetry**: C2/m
**DOS at the Fermi energy**: 0.450 states/eV per atom

Geometry as CIF:
```
data_Ba2SrAc3Te6
_cell_length_a 10.804
_cell_length_b 10.804
_cell_length_c 9.679
_cell_angle_alpha 103.83
_cell_angle_beta 103.83
_cell_angle_gamma 25.60
_space_group_name_H-M_alt 'P 1'
_space_group_IT_number 1
_space_group_name_Hall 'P 1'
loop_
_atom_site_label
_atom_site_fract_x
_atom_site_fract_y
_atom_site_fract_z
Ba1 0.166 0.166 0.333
Ba2 0.834 0.834 0.667
Sr1 0.500 0.500 0.000
Ac1 0.169 0.169 0.834
Ac2 0.500 0.500 0.500
Ac3 0.831 0.831 0.166
Te1 0.004 0.004 0.753
Te2 0.335 0.335 0.926
Te3 0.336 0.336 0.410
Te4 0.664 0.664 0.590
Te5 0.665 0.665 0.074
Te6 0.996 0.996 0.247
```

A relaxed structure of BaSr3Ac4Te8, computed with GGA-PBE.

**E_form (uncorrected)**: -1.601 eV/atom
**DFT total energy**: -4.635 eV/atom
**Symmetry**: R-3m
**DOS at the Fermi energy**: 0.407 states/eV per atom

Geometry as CIF:
```
data_BaSr3Ac4Te8
_cell_length_a 9.582
_cell_length_b 9.582
_cell_length_c 9.582
_cell_angle_alpha 59.26
_cell_angle_beta 59.26
_cell_angle_gamma 59.26
_space_group_name_H-M_alt 'P 1'
_space_group_IT_number 1
_space_group_name_Hall 'P 1'
loop_
_atom_site_label
_atom_site_fract_x
_atom_site_fract_y
_atom_site_fract_z
Ba1 0.000 0.000 0.000
Sr1 0.000 0.500 0.500
Sr2 0.500 0.000 0.500
Sr3 0.500 0.500 0.000
Ac1 0.000 0.000 0.500
Ac2 0.000 0.500 0.000
Ac3 0.500 0.000 0.000
Ac4 0.500 0.500 0.500
Te1 0.251 0.251 0.251
Te2 0.254 0.254 0.745
Te3 0.254 0.745 0.254
Te4 0.255 0.746 0.746
Te5 0.745 0.254 0.254
Te6 0.746 0.255 0.746
Te7 0.746 0.746 0.255
Te8 0.749 0.749 0.749
```

A relaxed structure of BaSrAcZn, computed with GGA-PBE.

**DFT total energy**: -2.326 eV/atom
**DFT formation energy**: -0.079 eV per atom
**Symmetry**: P4mm
**DOS at the Fermi energy**: 1.403 states/eV per atom

Geometry as CIF:
```
data_BaSrAcZn
_cell_length_a 4.010
_cell_length_b 4.010
_cell_length_c 10.536
_cell_angle_alpha 90.00
_cell_angle_beta 90.00
_cell_angle_gamma 90.00
_space_group_name_H-M_alt 'P 1'
_space_group_IT_number 1
_space_group_name_Hall 'P 1'
loop_
_atom_site_label
_atom_site_fract_x
_atom_site_fract_y
_atom_site_fract_z
Ba1 0.000 0.000 0.000
Sr1 0.500 0.500 0.665
Ac1 0.500 0.500 0.307
Zn1 0.000 0.000 0.478
```

A relaxed structure of BaAcTb, computed with GGA-PBE.

**E above lowest polymorph**: 75.5 meV/atom
**DFT total energy**: -3.405 eV/atom
**DFT formation energy**: 0.149 eV per atom
**Symmetry**: P3m1
**DOS at the Fermi energy**: 1.689 states/eV per atom

Geometry as CIF:
```
data_BaAcTb
_cell_length_a 3.945
_cell_length_b 3.945
_cell_length_c 9.742
_cell_angle_alpha 90.00
_cell_angle_beta 90.00
_cell_angle_gamma 120.00
_space_group_name_H-M_alt 'P 1'
_space_group_IT_number 1
_space_group_name_Hall 'P 1'
loop_
_atom_site_label
_atom_site_fract_x
_atom_site_fract_y
_atom_site_fract_z
Ba1 0.000 0.000 0.000
Ac1 0.333 0.667 0.632
Tb1 0.667 0.333 0.335
```

A relaxed structure of BaAc2Tb, computed with GGA-PBE.

**E above lowest polymorph**: 97.0 meV/atom
**DFT total energy**: -3.520 eV/atom
**DFT formation energy**: 0.172 eV per atom
**Symmetry**: R-3m
**DOS at the Fermi energy**: 1.381 states/eV per atom

Geometry as CIF:
```
data_BaAc2Tb
_cell_length_a 13.940
_cell_length_b 13.940
_cell_length_c 13.940
_cell_angle_alpha 16.03
_cell_angle_beta 16.03
_cell_angle_gamma 16.03
_space_group_name_H-M_alt 'P 1'
_space_group_IT_number 1
_space_group_name_Hall 'P 1'
loop_
_atom_site_label
_atom_site_fract_x
_atom_site_fract_y
_atom_site_fract_z
Ba1 0.000 0.000 0.000
Ac1 0.094 0.094 0.094
Ac2 0.906 0.906 0.906
Tb1 0.500 0.500 0.500
```

A relaxed structure of BaAcTb2, computed with GGA-PBE.

**E above lowest polymorph**: 90.0 meV/atom
**DFT total energy**: -3.566 eV/atom
**DFT formation energy**: 0.257 eV per atom
**Symmetry**: R-3m
**DOS at the Fermi energy**: 1.712 states/eV per atom

Geometry as CIF:
```
data_BaAcTb2
_cell_length_a 13.389
_cell_length_b 13.389
_cell_length_c 13.389
_cell_angle_alpha 16.08
_cell_angle_beta 16.08
_cell_angle_gamma 16.08
_space_group_name_H-M_alt 'P 1'
_space_group_IT_number 1
_space_group_name_Hall 'P 1'
loop_
_atom_site_label
_atom_site_fract_x
_atom_site_fract_y
_atom_site_fract_z
Ba1 0.000 0.000 0.000
Ac1 0.500 0.500 0.500
Tb1 0.092 0.092 0.092
Tb2 0.908 0.908 0.908
```

Q: Which value of DFT total energy does entry 7 give?
A: -3.520 eV/atom

Q: Number 1 is which compound?
A: Ba3SrAc2Te6